This record from Alexandria describes an optimized crystal structure of La2TeH. The functional is PBE.

Lattice parameters (Å, degrees): 4.061 4.061 7.727 74.76 74.76 60.00
Fractional positions:
H  0.000  0.000  0.000
La  0.266  0.266  0.201
Te  0.500  0.500  0.500
La  0.734  0.734  0.799

VASP energy = -4.953 eV/atom